Entry 1:
A relaxed Cs5H6Pd crystal, computed with GGA-PBE.

As for the crystal system: monoclinic.

It has space group C2/m (No. 12), with a = 7.537 Å, b = 12.938 Å, c = 7.341 Å, α = 90.00°, β = 106.80° and γ = 90.00°. The inequivalent atoms are Cs at (0.000, 0.000, 0.000), Cs at (0.000, 0.190, 0.500), Cs at (0.000, 0.347, 0.000), H at (0.151, 0.500, 0.365), H at (0.223, 0.175, 0.220) and Pd at (0.000, 0.500, 0.500).

***

Entry 2:
A relaxed CsHPd2 crystal, computed with GGA-PBE.

As for the crystal system: trigonal.

It has space group R-3m (No. 166, hexagonal axes), with a = 3.3545 Å, b = 3.3545 Å, c = 22.9333 Å, α = 90.00°, β = 90.00° and γ = 120.00°. The inequivalent atoms are Cs at (0.0000, 0.0000, 0.0000), H at (0.0000, 0.0000, 0.5000) and Pd at (0.0000, 0.0000, 0.1237).

***

Entry 3:
A relaxed CsHPd2 crystal, computed with GGA-PBE.

As for the crystal system: cubic.

It has space group Fm-3m (No. 225), with a = 6.847 Å, b = 6.847 Å, c = 6.847 Å, α = 90.00°, β = 90.00° and γ = 90.00°. The inequivalent atoms are Cs at (0.000, 0.000, 0.000), H at (0.000, 0.000, 0.500) and Pd at (0.250, 0.250, 0.250).

***

Entry 4:
A relaxed Cs2H5Pd2 crystal, computed with GGA-PBE.

As for the crystal system: monoclinic.

It has space group C2/m (No. 12), with a = 10.747 Å, b = 3.909 Å, c = 7.221 Å, α = 90.00°, β = 98.51° and γ = 90.00°. The inequivalent atoms are Cs at (0.113, 0.000, 0.334), H at (0.000, 0.500, 0.000), H at (0.075, 0.500, 0.701), H at (0.205, 0.000, 0.906) and Pd at (0.157, 0.500, 0.918).

***

Entry 5:
A relaxed CsHPd3 crystal, computed with GGA-PBE.

As for the crystal system: cubic.

It has space group Pm-3m (No. 221), with a = 4.388 Å, b = 4.388 Å, c = 4.388 Å, α = 90.00°, β = 90.00° and γ = 90.00°. The inequivalent atoms are Cs at (0.000, 0.000, 0.000), H at (0.500, 0.500, 0.500) and Pd at (0.000, 0.500, 0.500).

***

Entry 6:
A relaxed CsH2Pd crystal, computed with GGA-PBE.

As for the crystal system: orthorhombic.

It has space group Cmcm (No. 63), with a = 5.753 Å, b = 11.395 Å, c = 5.489 Å, α = 90.00°, β = 90.00° and γ = 90.00°. The inequivalent atoms are Cs at (0.000, 0.153, 0.250), H at (0.000, 0.400, 0.506) and Pd at (0.000, 0.493, 0.250).

***

no.,uncorrected energy (eV/cell)
1,-59.0
2,-39.1
3,-43.2
4,-59.4
5,-18.3
6,-55.8